# ErSi2AgS6 PBE-GGA relaxed
# crystal system: monoclinic
# space-group type: No. 15
# Fermi-level density of states: 0.0 states/eV/cell
# uncorrected energy: -103.15 eV/cell
data_ErSi2AgS6
_symmetry_space_group_name_H-M 'P 1'
_symmetry_Int_Tables_number 1
_symmetry_space_group_name_Hall 'P 1'
_cell_length_a 8.550
_cell_length_b 8.550
_cell_length_c 6.429
_cell_angle_alpha 102.63
_cell_angle_beta 102.63
_cell_angle_gamma 86.01
loop_
_atom_site_label
_atom_site_type_symbol
_atom_site_fract_x
_atom_site_fract_y
_atom_site_fract_z
Er1 Er 0.125 0.875 0.750
Er2 Er 0.875 0.125 0.250
Si1 Si 0.223 0.373 0.743
Si2 Si 0.373 0.223 0.243
Si3 Si 0.627 0.777 0.757
Si4 Si 0.777 0.627 0.257
Ag1 Ag 0.275 0.725 0.250
Ag2 Ag 0.725 0.275 0.750
S1 S 0.051 0.188 0.659
S2 S 0.122 0.597 0.878
S3 S 0.188 0.051 0.159
S4 S 0.305 0.428 0.472
S5 S 0.403 0.878 0.622
S6 S 0.428 0.305 0.972
S7 S 0.572 0.695 0.028
S8 S 0.597 0.122 0.378
S9 S 0.695 0.572 0.528
S10 S 0.812 0.949 0.841
S11 S 0.878 0.403 0.122
S12 S 0.949 0.812 0.341